(1)
VASP calculation (PBE) on an optimized crystal structure of Bi6IrRu.

Unit cell a=8.4659 b=8.4659 c=8.4942 alpha=109.44 beta=109.51 gamma=109.34
Last column: nearest neighbours and their distance in Å.
Element x y z (fractional)
Bi1 0.1603 0.6708 0.8311  2 Ru 2.72
Bi2 0.8397 0.3292 0.1689  2 Ru 2.72
Bi3 0.8434 0.6611 0.5045  2 Ir 2.75
Bi4 0.1566 0.3389 0.4955  2 Ir 2.75
Bi5 0.8242 0.1601 0.6673  1 Ru 2.73, 1 Ir 2.75
Bi6 0.1758 0.8399 0.3327  1 Ru 2.73, 1 Ir 2.75
Bi7 0.5072 0.8431 0.6673  1 Ru 2.73, 1 Ir 2.75
Bi8 0.4928 0.1569 0.3327  1 Ru 2.73, 1 Ir 2.75
Bi9 0.6650 0.8242 0.1574  1 Ru 2.72, 1 Ir 2.75
Bi10 0.3350 0.1758 0.8426  1 Ru 2.72, 1 Ir 2.75
Bi11 0.6669 0.5077 0.8426  1 Ru 2.72, 1 Ir 2.75
Bi12 0.3331 0.4923 0.1574  1 Ru 2.72, 1 Ir 2.75
Ir1 0.0000 0.0000 0.5000  6 Bi 2.75
Ir2 0.5000 0.5000 0.5000  6 Bi 2.75
Ru1 0.0000 0.5000 0.0000  6 Bi 2.72-2.73
Ru2 0.5000 0.0000 0.0000  6 Bi 2.72-2.73

Properties
The density of states at the Fermi level comes out at 15.0 states/eV per cell. The value obtained for the formation energy is 0.40 eV per formula unit. The space group is C2/m, No. 12.


(2)
VASP calculation (PBE) on an optimized crystal structure of BiIrRu3.

Unit cell a=4.7364 b=4.7364 c=4.7364 alpha=90.00 beta=90.00 gamma=90.00
Last column: nearest neighbours and their distance in Å.
Element x y z (fractional)
Ru1 0.0000 0.5000 0.0000  2 Ir 2.37
Ru2 0.0000 0.0000 0.5000  2 Ir 2.37
Ru3 0.5000 0.0000 0.0000  2 Ir 2.37
Ir1 0.0000 0.0000 0.0000  6 Ru 2.37
Bi1 0.5000 0.5000 0.5000  12 Ru 3.35

Properties
The distance to the lowest polymorph of the same formula comes out at 0.000 eV/atom. The density of states at the Fermi level comes out at 6.1 states/eV per cell. The value obtained for the formation energy is 7.17 eV per formula unit. The space group is Pm-3m, No. 221.


(3)
VASP calculation (PBE) on an optimized crystal structure of ScBiIrRu2.

Unit cell a=4.7762 b=4.9061 c=4.7762 alpha=90.00 beta=90.00 gamma=90.00
Last column: nearest neighbours and their distance in Å.
Element x y z (fractional)
Sc1 0.0000 0.5000 0.0000  2 Ir 2.45
Ru1 0.0000 0.0000 0.5000  2 Ir 2.39
Ru2 0.5000 0.0000 0.0000  2 Ir 2.39
Ir1 0.0000 0.0000 0.0000  4 Ru 2.39, 2 Sc 2.45
Bi1 0.5000 0.5000 0.5000  4 Sc 3.38, 8 Ru 3.42

Properties
The density of states at the Fermi level comes out at 7.5 states/eV per cell. The value obtained for the formation energy is 3.52 eV per formula unit. The space group is P4/mmm, No. 123.


(4)
VASP calculation (PBE) on an optimized crystal structure of Th3BiIrRu.

Unit cell a=4.3403 b=8.5167 c=10.1252 alpha=116.14 beta=90.00 gamma=90.00
Last column: nearest neighbours and their distance in Å.
Element x y z (fractional)
Th1 0.2500 0.7477 0.4770  3 Ru 2.70-2.88
Th2 0.7500 0.9266 0.1303  1 Ru 2.69, 2 Ir 2.88
Th3 0.7500 0.4886 0.1468  3 Ir 2.84-2.91
Th4 0.7500 0.2523 0.5230  3 Ru 2.70-2.88
Th5 0.2500 0.5114 0.8532  3 Ir 2.84-2.91
Th6 0.2500 0.0734 0.8697  1 Ru 2.69, 2 Ir 2.88
Bi1 0.7500 0.7213 0.7280  8 Th 3.39-3.66
Bi2 0.2500 0.2787 0.2720  8 Th 3.39-3.66
Ir1 0.2500 0.7239 0.1625  6 Th 2.84-3.10, 2 Ru 3.01
Ir2 0.7500 0.2761 0.8375  6 Th 2.84-3.10, 2 Ru 3.01
Ru1 0.2500 0.1011 0.6148  4 Th 2.69-2.88, 2 Ir 3.01
Ru2 0.7500 0.8989 0.3852  4 Th 2.69-2.88, 2 Ir 3.01

Properties
The density of states at the Fermi level comes out at 7.2 states/eV per cell. The value obtained for the formation energy is -3.72 eV per formula unit. The space group is P2_1/m, No. 11.


(5)
VASP calculation (PBE) on an optimized crystal structure of Ti2BiIrRu.

Unit cell a=4.9642 b=4.9642 c=4.8056 alpha=90.00 beta=90.00 gamma=90.00
Last column: nearest neighbours and their distance in Å.
Element x y z (fractional)
Ru1 0.0000 0.0000 0.5000  2 Bi 2.40
Ir1 0.5000 0.5000 0.5000  8 Ti 3.45, 4 Ru 3.51
Bi1 0.0000 0.0000 0.0000  2 Ru 2.40, 4 Ti 2.48
Ti1 0.0000 0.5000 0.0000  2 Bi 2.48
Ti2 0.5000 0.0000 0.0000  2 Bi 2.48

Properties
The density of states at the Fermi level comes out at 7.0 states/eV per cell. The value obtained for the formation energy is 9.03 eV per formula unit. The space group is P4/mmm, No. 123.


(6)
VASP calculation (PBE) on an optimized crystal structure of BiIrS.

Unit cell a=6.2196 b=6.2196 c=6.2196 alpha=90.00 beta=90.00 gamma=90.00
Last column: nearest neighbours and their distance in Å.
Element x y z (fractional)
S1 0.3823 0.1177 0.8823  3 Ir 2.47, 1 Bi 2.67
S2 0.1177 0.8823 0.3823  3 Ir 2.47, 1 Bi 2.67
S3 0.8823 0.3823 0.1177  3 Ir 2.47, 1 Bi 2.67
S4 0.6177 0.6177 0.6177  3 Ir 2.47, 1 Bi 2.67
Ir1 0.9762 0.5238 0.4762  3 S 2.47, 3 Bi 2.71
Ir2 0.5238 0.4762 0.9762  3 S 2.47, 3 Bi 2.71
Ir3 0.4762 0.9762 0.5238  3 S 2.47, 3 Bi 2.71
Ir4 0.0238 0.0238 0.0238  3 S 2.47, 3 Bi 2.71
Bi1 0.3699 0.3699 0.3699  1 S 2.67, 3 Ir 2.71
Bi2 0.1301 0.6301 0.8699  1 S 2.67, 3 Ir 2.71
Bi3 0.8699 0.1301 0.6301  1 S 2.67, 3 Ir 2.71
Bi4 0.6301 0.8699 0.1301  1 S 2.67, 3 Ir 2.71

Properties
As for the formation energy (no corrections): -0.248 eV per atom. The density of states at the Fermi level comes out at 0.0 states/eV per cell. The space group is P2_13, No. 198.


(7)
VASP calculation (PBE) on an optimized crystal structure of BiIrS3.

Unit cell a=5.1376 b=5.1376 c=5.1376 alpha=90.00 beta=90.00 gamma=90.00
Last column: nearest neighbours and their distance in Å.
Element x y z (fractional)
S1 0.0000 0.5000 0.0000  2 Bi 2.57
S2 0.0000 0.0000 0.5000  2 Bi 2.57
S3 0.5000 0.0000 0.0000  2 Bi 2.57
Ir1 0.5000 0.5000 0.5000  12 S 3.63
Bi1 0.0000 0.0000 0.0000  6 S 2.57

Properties
As for the formation energy (no corrections): 1.573 eV per atom. The distance to the lowest polymorph of the same formula comes out at 1.313 eV/atom. The density of states at the Fermi level comes out at 5.7 states/eV per cell. The space group is Pm-3m, No. 221.


(8)
VASP calculation (PBE) on an optimized crystal structure of Bi3Ir2S3.

Unit cell a=9.1260 b=9.1260 c=9.1260 alpha=90.83 beta=90.83 gamma=89.17
Last column: nearest neighbours and their distance in Å.
Element x y z (fractional)
Bi1 0.8587 0.3493 0.0115  2 S 2.72-3.05, 2 Ir 2.72-2.78
Bi2 0.1413 0.6507 0.9885  2 S 2.72-3.05, 2 Ir 2.72-2.78
Bi3 0.3619 0.1511 0.5050  2 Ir 2.75-2.77, 2 S 2.76-3.05
Bi4 0.1511 0.4950 0.6381  2 Ir 2.75-2.77, 2 S 2.76-3.05
Bi5 0.4950 0.3619 0.8489  2 Ir 2.75-2.77, 2 S 2.76-3.05
Bi6 0.3493 0.9885 0.1413  2 S 2.72-3.05, 2 Ir 2.72-2.78
Bi7 0.6381 0.8489 0.4950  2 Ir 2.75-2.77, 2 S 2.76-3.05
Bi8 0.8489 0.5050 0.3619  2 Ir 2.75-2.77, 2 S 2.76-3.05
Bi9 0.0115 0.1413 0.3493  2 S 2.72-3.05, 2 Ir 2.72-2.78
Bi10 0.9885 0.8587 0.6507  2 S 2.72-3.05, 2 Ir 2.72-2.78
Bi11 0.6507 0.0115 0.8587  2 S 2.72-3.05, 2 Ir 2.72-2.78
Bi12 0.5050 0.6381 0.1511  2 Ir 2.75-2.77, 2 S 2.76-3.05
Ir1 0.7615 0.2651 0.7399  3 S 2.40-2.41
Ir2 0.2385 0.7349 0.2601  3 S 2.40-2.41
Ir3 0.2651 0.2601 0.2385  3 S 2.40-2.41
Ir4 0.7349 0.7399 0.7615  3 S 2.40-2.41
Ir5 0.2601 0.7615 0.7349  3 S 2.40-2.41
Ir6 0.7646 0.7646 0.2354  3 S 2.43
Ir7 0.7399 0.2385 0.2651  3 S 2.40-2.41
Ir8 0.2354 0.2354 0.7646  3 S 2.43
S1 0.8444 0.6825 0.9950  2 Ir 2.40-2.43
S2 0.8185 0.5081 0.6624  2 Ir 2.40-2.41
S3 0.9950 0.1556 0.6825  2 Ir 2.40-2.43
S4 0.6825 0.0050 0.1556  2 Ir 2.40-2.43
S5 0.0050 0.8444 0.3175  2 Ir 2.40-2.43
S6 0.1815 0.4919 0.3376  2 Ir 2.40-2.41
S7 0.4919 0.6624 0.8185  2 Ir 2.40-2.41
S8 0.3376 0.8185 0.4919  2 Ir 2.40-2.41
S9 0.6624 0.1815 0.5081  2 Ir 2.40-2.41
S10 0.3175 0.9950 0.8444  2 Ir 2.40-2.43
S11 0.5081 0.3376 0.1815  2 Ir 2.40-2.41
S12 0.1556 0.3175 0.0050  2 Ir 2.40-2.43

Properties
As for the formation energy (no corrections): -0.085 eV per atom. The density of states at the Fermi level comes out at 23.8 states/eV per cell. The space group is R-3, No. 148.


(9)
VASP calculation (PBE) on an optimized crystal structure of Bi2Ir2S.

Unit cell a=3.7815 b=3.7815 c=8.2778 alpha=76.80 beta=76.80 gamma=90.00
Last column: nearest neighbours and their distance in Å.
Element x y z (fractional)
S1 0.0000 0.0000 0.0000  8 Bi 3.21
Ir1 0.7500 0.2500 0.5000  4 Ir 2.67, 4 Bi 2.86
Ir2 0.2500 0.7500 0.5000  4 Ir 2.67, 4 Bi 2.86
Bi1 0.3871 0.3871 0.2259  4 Ir 2.86
Bi2 0.6129 0.6129 0.7741  4 Ir 2.86

Properties
As for the formation energy (no corrections): 0.206 eV per atom. The distance to the lowest polymorph of the same formula comes out at 0.000 eV/atom. The density of states at the Fermi level comes out at 8.8 states/eV per cell. The space group is I4/mmm, No. 139.


(10)
VASP calculation (PBE) on an optimized crystal structure of BiIrS.

Unit cell a=3.5098 b=6.2495 c=11.8200 alpha=90.00 beta=90.00 gamma=90.00
Last column: nearest neighbours and their distance in Å.
Element x y z (fractional)
S1 0.7500 0.8039 0.7639  3 Ir 2.29-2.34
S2 0.7500 0.1961 0.2639  3 Ir 2.29-2.34
S3 0.2500 0.6961 0.2361  3 Ir 2.29-2.34
S4 0.2500 0.3039 0.7361  3 Ir 2.29-2.34
Ir1 0.7500 0.8452 0.3327  3 S 2.29-2.34
Ir2 0.7500 0.1548 0.8327  3 S 2.29-2.34
Ir3 0.2500 0.6548 0.6673  3 S 2.29-2.34
Ir4 0.2500 0.3452 0.1673  3 S 2.29-2.34
Bi1 0.7500 0.5034 0.4876  3 Ir 2.81-2.91
Bi2 0.7500 0.4966 0.9876  3 Ir 2.81-2.91
Bi3 0.2500 0.9966 0.5124  3 Ir 2.81-2.91
Bi4 0.2500 0.0034 0.0124  3 Ir 2.81-2.91

Properties
As for the formation energy (no corrections): -0.136 eV per atom. The density of states at the Fermi level comes out at 7.1 states/eV per cell. The space group is Pnma, No. 62.


(11)
VASP calculation (PBE) on an optimized crystal structure of Bi2Ir2S.

Unit cell a=8.2501 b=8.2501 c=3.1322 alpha=90.00 beta=90.00 gamma=90.00
Last column: nearest neighbours and their distance in Å.
Element x y z (fractional)
S1 0.0000 0.0000 0.0000  4 Bi 3.06, 2 S 3.13
S2 0.5000 0.5000 0.0000  4 Bi 3.06, 2 S 3.13
Ir1 0.1202 0.6202 0.5000  3 Ir 2.81-3.13, 6 Bi 2.89-2.91
Ir2 0.6202 0.8798 0.5000  3 Ir 2.81-3.13, 6 Bi 2.89-2.91
Ir3 0.8798 0.3798 0.5000  3 Ir 2.81-3.13, 6 Bi 2.89-2.91
Ir4 0.3798 0.1202 0.5000  3 Ir 2.81-3.13, 6 Bi 2.89-2.91
Bi1 0.3280 0.8280 0.0000  6 Ir 2.89-2.91, 2 S 3.06, 2 Bi 3.13
Bi2 0.8280 0.6720 0.0000  6 Ir 2.89-2.91, 2 S 3.06, 2 Bi 3.13
Bi3 0.6720 0.1720 0.0000  6 Ir 2.89-2.91, 2 S 3.06, 2 Bi 3.13
Bi4 0.1720 0.3280 0.0000  6 Ir 2.89-2.91, 2 S 3.06, 2 Bi 3.13

Properties
As for the formation energy (no corrections): 0.624 eV per atom. The distance to the lowest polymorph of the same formula comes out at 0.418 eV/atom. The density of states at the Fermi level comes out at 8.4 states/eV per cell. The space group is P4/mbm, No. 127.


(12)
VASP calculation (PBE) on an optimized crystal structure of BiIrS3.

Unit cell a=4.6849 b=4.6849 c=4.6849 alpha=90.00 beta=90.00 gamma=90.00
Last column: nearest neighbours and their distance in Å.
Element x y z (fractional)
S1 0.0000 0.5000 0.0000  2 Ir 2.34
S2 0.0000 0.0000 0.5000  2 Ir 2.34
S3 0.5000 0.0000 0.0000  2 Ir 2.34
Ir1 0.0000 0.0000 0.0000  6 S 2.34
Bi1 0.5000 0.5000 0.5000  12 S 3.31

Properties
As for the formation energy (no corrections): 0.260 eV per atom. The distance to the lowest polymorph of the same formula comes out at 0.000 eV/atom. The density of states at the Fermi level comes out at 4.6 states/eV per cell. The space group is Pm-3m, No. 221.